# Ce3Ge2Pd7, optimized geometry, DFT GGA-PBE
data_Ce3Ge2Pd7
_chemical_formula_sum 'Ce3 Ge2 Pd7'
_cell_length_a 14.269
_cell_length_b 14.269
_cell_length_c 14.269
_cell_angle_alpha 163.53
_cell_angle_beta 163.53
_cell_angle_gamma 23.38
_space_group_name_H-M_alt 'P 1'
_space_group_IT_number 1
_space_group_name_Hall 'P 1'
loop_
_atom_site_label
_atom_site_type_symbol
_atom_site_fract_x
_atom_site_fract_y
_atom_site_fract_z
Ce1 Ce 0.000 0.000 0.000
Ce2 Ce 0.174 0.174 0.000
Ce3 Ce 0.826 0.826 0.000
Ge1 Ge 0.371 0.371 0.000
Ge2 Ge 0.629 0.629 0.000
Pd1 Pd 0.076 0.576 0.500
Pd2 Pd 0.278 0.278 0.000
Pd3 Pd 0.424 0.924 0.500
Pd4 Pd 0.500 0.500 0.000
Pd5 Pd 0.576 0.076 0.500
Pd6 Pd 0.722 0.722 0.000
Pd7 Pd 0.924 0.424 0.500
# E_form = -0.721 eV per atom
# Electronic total energy = -6.003 eV/atom
# Calculated volume = 19.460 A^3/atom